The following is a GGA-PBE calculation of an optimized crystal structure of CsZrH3, from the Alexandria database.

abc: 4.352 4.352 4.352
angles: 90.00 90.00 90.00
Space group Pm-3m (No. 221)
Inequivalent atoms, fractional coordinates:
1 Cs 0.000 0.000 0.000
2 Zr 0.500 0.500 0.500
3 H 0.000 0.500 0.500

M_tot in μB per formula unit: 1.980
VASP energy in eV/f.u.: -19.111
ΔE to the lowest computed polymorph in meV per atom: 0
Volume in Å³/cell: 82.4

---

The following is a GGA-PBE calculation of an optimized crystal structure of Cs2KBiAu, from the Alexandria database.

abc: 6.728 6.728 6.247
angles: 90.00 90.00 90.00
Space group P4mm (No. 99)
Inequivalent atoms, fractional coordinates:
1 Cs 0.000 0.500 0.000
2 K 0.000 0.000 0.497
3 Bi 0.500 0.500 0.499
4 Au 0.000 0.000 0.997

M_tot in μB per formula unit: 1.029
VASP energy in eV/f.u.: -10.638
ΔE to the lowest computed polymorph in meV per atom: 39
Volume in Å³/cell: 282.8

---

The following is a GGA-PBE calculation of an optimized crystal structure of LiZr2In2, from the Alexandria database.

abc: 6.963 6.963 4.546
angles: 90.00 90.00 90.00
Space group P4/mbm (No. 127)
Inequivalent atoms, fractional coordinates:
1 Li 0.000 0.000 0.000
2 Zr 0.162 0.338 0.500
3 In 0.146 0.646 0.000

M_tot in μB per formula unit: 0.000
VASP energy in eV/f.u.: -25.062
ΔE to the lowest computed polymorph in meV per atom: 0
Volume in Å³/cell: 220.4

---

The following is a GGA-PBE calculation of an optimized crystal structure of YHfP2, from the Alexandria database.

abc: 3.7775 3.7775 19.8538
angles: 90.00 90.00 120.00
Space group R3m (No. 160, hexagonal axes)
Inequivalent atoms, fractional coordinates:
1 Y 0.0000 0.0000 0.0000
2 Hf 0.0000 0.0000 0.1746
3 P 0.0000 0.0000 0.5800
4 P 0.0000 0.0000 0.7619

M_tot in μB per formula unit: 0.000
VASP energy in eV/f.u.: -32.610
ΔE to the lowest computed polymorph in meV per atom: 110
Volume in Å³/cell: 245.3

---

The following is a GGA-PBE calculation of an optimized crystal structure of Ho3Mg11, from the Alexandria database.

abc: 4.979 11.271 12.608
angles: 90.00 90.00 90.00
Space group Immm (No. 71)
Inequivalent atoms, fractional coordinates:
1 Ho 0.000 0.000 0.000
2 Ho 0.000 0.000 0.280
3 Mg 0.000 0.154 0.500
4 Mg 0.000 0.273 0.145
5 Mg 0.000 0.373 0.367
6 Mg 0.000 0.500 0.000

M_tot in μB per formula unit: 0.000
VASP energy in eV/f.u.: -31.339
Volume in Å³/cell: 707.6

---

The following is a GGA-PBE calculation of an optimized crystal structure of Sm6TeRh2S3, from the Alexandria database.

abc: 18.180 4.031 8.547
angles: 90.00 105.62 90.00
Space group C2/m (No. 12)
Inequivalent atoms, fractional coordinates:
1 Sm 0.007 0.000 0.278
2 Sm 0.170 0.500 0.584
3 Sm 0.178 0.500 0.108
4 Te 0.000 0.500 0.000
5 Rh 0.171 0.000 0.342
6 S 0.000 0.500 0.500
7 S 0.159 0.000 0.841

M_tot in μB per formula unit: 0.000
VASP energy in eV/f.u.: -75.519
Volume in Å³/cell: 603.2

---

The following is a GGA-PBE calculation of an optimized crystal structure of NaLa2InTe5, from the Alexandria database.

abc: 4.481 19.730 13.311
angles: 90.00 90.00 90.00
Space group Cmc2_1 (No. 36)
Inequivalent atoms, fractional coordinates:
1 Na 0.000 0.211 0.000
2 La 0.000 0.120 0.670
3 La 0.000 0.131 0.297
4 In 0.000 0.429 0.450
5 Te 0.000 0.042 0.072
6 Te 0.000 0.292 0.665
7 Te 0.000 0.311 0.327
8 Te 0.000 0.365 0.989
9 Te 0.000 0.499 0.766

M_tot in μB per formula unit: 0.000
VASP energy in eV/f.u.: -39.764
Volume in Å³/cell: 1176.8

---

The following is a GGA-PBE calculation of an optimized crystal structure of LiPrMg4, from the Alexandria database.

abc: 3.469 3.469 12.102
angles: 90.00 90.00 90.00
Space group P4/mmm (No. 123)
Inequivalent atoms, fractional coordinates:
1 Li 0.000 0.000 0.000
2 Pr 0.500 0.500 0.500
3 Mg 0.000 0.000 0.298
4 Mg 0.500 0.500 0.139

M_tot in μB per formula unit: 0.000
VASP energy in eV/f.u.: -13.458
ΔE to the lowest computed polymorph in meV per atom: 0
Volume in Å³/cell: 145.6

---

The following is a GGA-PBE calculation of an optimized crystal structure of ThRu2Pb, from the Alexandria database.

abc: 4.646 4.646 3.714
angles: 90.00 90.00 90.00
Space group P4/mmm (No. 123)
Inequivalent atoms, fractional coordinates:
1 Th 0.000 0.000 0.000
2 Ru 0.000 0.500 0.500
3 Pb 0.500 0.500 0.000

M_tot in μB per formula unit: 0.000
VASP energy in eV/f.u.: -30.419
Volume in Å³/cell: 80.2

---

The following is a GGA-PBE calculation of an optimized crystal structure of Cs2CrCl5, from the Alexandria database.

abc: 7.564 7.564 4.889
angles: 90.00 90.00 90.00
Space group P4/mmm (No. 123)
Inequivalent atoms, fractional coordinates:
1 Cs 0.000 0.500 0.000
2 Cr 0.000 0.000 0.500
3 Cl 0.000 0.000 0.000
4 Cl 0.220 0.220 0.500

M_tot in μB per formula unit: 3.000
VASP energy in eV/f.u.: -33.217
ΔE to the lowest computed polymorph in meV per atom: 0
Volume in Å³/cell: 279.7

---

The following is a GGA-PBE calculation of an optimized crystal structure of CaFe2P, from the Alexandria database.

abc: 3.080 3.080 6.605
angles: 90.00 90.00 90.00
Space group P4mm (No. 99)
Inequivalent atoms, fractional coordinates:
1 Ca 0.000 0.000 0.000
2 Fe 0.000 0.000 0.526
3 Fe 0.500 0.500 0.334
4 P 0.500 0.500 0.683

M_tot in μB per formula unit: 3.816
VASP energy in eV/f.u.: -24.633
Volume in Å³/cell: 62.6

---

The following is a GGA-PBE calculation of an optimized crystal structure of Pr6NdAg2, from the Alexandria database.

abc: 12.982 3.810 12.277
angles: 90.00 108.31 90.00
Space group C2/m (No. 12)
Inequivalent atoms, fractional coordinates:
1 Pr 0.025 0.000 0.333
2 Pr 0.184 0.500 0.877
3 Pr 0.187 0.500 0.590
4 Nd 0.000 0.000 0.000
5 Ag 0.147 0.500 0.198

M_tot in μB per formula unit: 0.000
VASP energy in eV/f.u.: -40.040
ΔE to the lowest computed polymorph in meV per atom: 0
Volume in Å³/cell: 576.6

---

The following is a GGA-PBE calculation of an optimized crystal structure of FeNiMoPt, from the Alexandria database.

abc: 3.682 3.682 7.909
angles: 90.00 90.00 90.00
Space group I-4m2 (No. 119)
Inequivalent atoms, fractional coordinates:
1 Fe 0.000 0.000 0.000
2 Ni 0.000 0.500 0.250
3 Mo 0.000 0.000 0.500
4 Pt 0.000 0.500 0.750

M_tot in μB per formula unit: 2.104
VASP energy in eV/f.u.: -31.684
ΔE to the lowest computed polymorph in meV per atom: 0
Volume in Å³/cell: 107.2

---

The following is a GGA-PBE calculation of an optimized crystal structure of Mg8Tl, from the Alexandria database.

abc: 9.645 9.645 4.485
angles: 90.00 90.00 90.00
Space group I4/mmm (No. 139)
Inequivalent atoms, fractional coordinates:
1 Mg 0.000 0.334 0.000
2 Mg 0.168 0.168 0.500
3 Tl 0.000 0.000 0.000

M_tot in μB per formula unit: 0.000
VASP energy in eV/f.u.: -15.256
Volume in Å³/cell: 417.2

---

The following is a GGA-PBE calculation of an optimized crystal structure of LiPm12Rh6, from the Alexandria database.

abc: 13.0812 13.0812 11.2686
angles: 90.00 90.00 120.00
Space group R-3 (No. 148, hexagonal axes)
Inequivalent atoms, fractional coordinates:
1 Li 0.0000 0.0000 0.0000
2 Pm 0.0288 0.8187 0.3852
3 Pm 0.0360 0.8198 0.8847
4 Rh 0.0443 0.7829 0.6461

M_tot in μB per formula unit: 0.000
VASP energy in eV/f.u.: -109.916
Volume in Å³/cell: 1669.9

---

The following is a GGA-PBE calculation of an optimized crystal structure of Hf6MnPb, from the Alexandria database.

abc: 9.3027 9.3027 7.2726
angles: 90.00 90.00 120.00
Space group R-3m (No. 166, hexagonal axes)
Inequivalent atoms, fractional coordinates:
1 Hf 0.0584 0.5292 0.3108
2 Mn 0.0000 0.0000 0.5000
3 Pb 0.0000 0.0000 0.0000

M_tot in μB per formula unit: 0.000
VASP energy in eV/f.u.: -70.716
Volume in Å³/cell: 545.1

---

The following is a GGA-PBE calculation of an optimized crystal structure of Ta2GaSn, from the Alexandria database.

abc: 3.0525 3.0525 27.8132
angles: 90.00 90.00 120.00
Space group R3m (No. 160, hexagonal axes)
Inequivalent atoms, fractional coordinates:
1 Ta 0.0000 0.0000 0.0000
2 Ta 0.0000 0.0000 0.1723
3 Ga 0.0000 0.0000 0.5862
4 Sn 0.0000 0.0000 0.7528

M_tot in μB per formula unit: 0.000
VASP energy in eV/f.u.: -30.324
Volume in Å³/cell: 224.4

---

The following is a GGA-PBE calculation of an optimized crystal structure of InCuP2, from the Alexandria database.

abc: 6.445 6.445 6.445
angles: 90.00 90.00 90.00
Space group F-43m (No. 216)
Inequivalent atoms, fractional coordinates:
1 In 0.000 0.000 0.000
2 Cu 0.250 0.250 0.250
3 P 0.000 0.000 0.500
4 P 0.250 0.250 0.750

M_tot in μB per formula unit: 0.000
VASP energy in eV/f.u.: -15.365
Volume in Å³/cell: 267.7

---

The following is a GGA-PBE calculation of an optimized crystal structure of SnOs2Au, from the Alexandria database.

abc: 4.004 4.004 19.456
angles: 90.00 90.00 90.00
Space group I-42d (No. 122)
Inequivalent atoms, fractional coordinates:
1 Sn 0.000 0.000 0.000
2 Os 0.166 0.250 0.625
3 Au 0.000 0.000 0.500

M_tot in μB per formula unit: 0.000
VASP energy in eV/f.u.: -26.634
Volume in Å³/cell: 312.0

---

The following is a GGA-PBE calculation of an optimized crystal structure of CeNiB, from the Alexandria database.

abc: 3.6724 3.6724 3.9252
angles: 90.00 90.00 120.00
Space group P-6m2 (No. 187)
Inequivalent atoms, fractional coordinates:
1 Ce 0.0000 0.0000 0.0000
2 Ni 0.3333 0.6667 0.5000
3 B 0.6667 0.3333 0.5000

M_tot in μB per formula unit: 0.000
VASP energy in eV/f.u.: -19.297
ΔE to the lowest computed polymorph in meV per atom: 0
Volume in Å³/cell: 45.8

---

The following is a GGA-PBE calculation of an optimized crystal structure of RbZrNO2, from the Alexandria database.

abc: 4.242 4.242 4.561
angles: 90.00 90.00 90.00
Space group P4/mmm (No. 123)
Inequivalent atoms, fractional coordinates:
1 Rb 0.000 0.000 0.000
2 Zr 0.500 0.500 0.500
3 N 0.500 0.500 0.000
4 O 0.000 0.500 0.500

M_tot in μB per formula unit: 2.005
VASP energy in eV/f.u.: -34.979
Volume in Å³/cell: 82.1

---

The following is a GGA-PBE calculation of an optimized crystal structure of ScMnTcSn2, from the Alexandria database.

abc: 5.343 5.343 4.406
angles: 90.00 90.00 90.00
Space group P4/mmm (No. 123)
Inequivalent atoms, fractional coordinates:
1 Sc 0.000 0.000 0.000
2 Mn 0.000 0.000 0.500
3 Tc 0.500 0.500 0.500
4 Sn 0.000 0.500 0.000

M_tot in μB per formula unit: 5.958
VASP energy in eV/f.u.: -27.100
Volume in Å³/cell: 125.8

---

The following is a GGA-PBE calculation of an optimized crystal structure of K2NdSbTe4, from the Alexandria database.

abc: 7.972 4.567 8.648
angles: 90.00 107.67 90.00
Space group P2/m (No. 10)
Inequivalent atoms, fractional coordinates:
1 K 0.000 0.000 0.000
2 K 0.500 0.500 0.000
3 Nd 0.000 0.500 0.500
4 Sb 0.500 0.000 0.500
5 Te 0.245 0.000 0.711
6 Te 0.271 0.500 0.293

M_tot in μB per formula unit: 0.000
VASP energy in eV/f.u.: -31.363
Volume in Å³/cell: 300.0

---

The following is a GGA-PBE calculation of an optimized crystal structure of Tl2OsRu, from the Alexandria database.

abc: 4.683 4.683 3.293
angles: 90.00 90.00 90.00
Space group P4/mmm (No. 123)
Inequivalent atoms, fractional coordinates:
1 Tl 0.000 0.500 0.000
2 Os 0.000 0.000 0.500
3 Ru 0.500 0.500 0.500

M_tot in μB per formula unit: 0.001
VASP energy in eV/f.u.: -21.459
ΔE to the lowest computed polymorph in meV per atom: 450
Volume in Å³/cell: 72.2

---

The following is a GGA-PBE calculation of an optimized crystal structure of CaCuAu2, from the Alexandria database.

abc: 3.605 3.605 6.116
angles: 90.00 90.00 90.00
Space group P4mm (No. 99)
Inequivalent atoms, fractional coordinates:
1 Ca 0.000 0.000 0.000
2 Cu 0.500 0.500 0.311
3 Au 0.000 0.000 0.474
4 Au 0.500 0.500 0.743

M_tot in μB per formula unit: 0.000
VASP energy in eV/f.u.: -13.951
ΔE to the lowest computed polymorph in meV per atom: 181
Volume in Å³/cell: 79.5